(1)
Here is crystalline Dy3ErSc2S6 at its relaxed geometry from the Alexandria database. Energies are from GGA-PBE.

Geometry as POSCAR:
```
Dy3ErSc2S6
1.0
-6.148 0.734 2.377
4.416 -3.719 3.263
2.431 6.037 1.350
Dy Er Sc S
3 1 2 6
Direct
0.164 0.836 0.500
0.836 0.164 0.500
0.500 0.500 0.500
0.000 0.000 0.000
0.333 0.667 0.000
0.667 0.333 0.000
0.920 0.580 0.761
0.738 0.738 0.236
0.080 0.420 0.239
0.580 0.920 0.761
0.262 0.262 0.764
0.420 0.080 0.239
```

Results
**D(E_F)**: 0.4464 states/eV/atom
**Formation energy (no corrections)**: -1.9392 eV/atom
**Calculated total energy**: -6.589 eV per atom
**ρ**: 6530 kg/m3

=====

(2)
Here is crystalline SrUCoSe4 at its relaxed geometry from the Alexandria database. Energies are from GGA-PBE.

Geometry as POSCAR:
```
SrUCoSe4
1.0
6.870 0.000 0.138
0.000 5.932 0.000
-2.514 0.000 8.173
Sr U Co Se
2 2 2 8
Direct
0.742 0.750 0.940
0.258 0.250 0.060
0.737 0.750 0.444
0.263 0.250 0.556
0.246 0.750 0.337
0.754 0.250 0.663
0.017 0.508 0.730
0.983 0.008 0.270
0.983 0.492 0.270
0.017 0.992 0.730
0.434 0.750 0.142
0.566 0.250 0.858
0.426 0.750 0.605
0.574 0.250 0.395
```

Results
**D(E_F)**: 1.1120 states/eV/atom
**Formation energy (no corrections)**: -1.0759 eV/atom
**Calculated total energy**: -5.935 eV per atom
**ρ**: 6941 kg/m3

=====

(3)
Here is crystalline FeAgOs2 at its relaxed geometry from the Alexandria database. Energies are from GGA-PBE.

Geometry as POSCAR:
```
FeAgOs2
1.0
-1.638 1.330 -1.663
1.882 -1.561 -1.112
-5.935 -7.209 0.079
Ag Fe Os
1 1 2
Direct
0.000 0.000 0.510
0.500 0.500 0.763
0.000 0.000 0.992
0.500 0.500 0.234
```

Results
**D(E_F)**: 1.2939 states/eV/atom
**E_form**: 0.566 eV per atom
**Calculated total energy**: -7.877 eV per atom
**ρ**: 15089 kg/m3
**Distance to the lowest polymorph of the same formula**: 0.87 eV/f.u.